(1)
# RbPuIn (PBE-GGA, optimized geometry)
# Crystal system   cubic
# Uncorrected energy   -5.3813 eV per atom
data_RbPuIn
_cell_length_a 8.2632
_cell_length_b 8.2632
_cell_length_c 8.2632
_cell_angle_alpha 90.00
_cell_angle_beta 90.00
_cell_angle_gamma 90.00
_space_group_name_H-M_alt 'F -4 3 m'
_space_group_IT_number 216
_space_group_name_Hall 'F -4 2 3'
loop_
_atom_site_label
_atom_site_type_symbol
_atom_site_fract_x
_atom_site_fract_y
_atom_site_fract_z
Rb1 Rb 0.0000 0.0000 0.0000
Pu1 Pu 0.0000 0.0000 0.5000
In1 In 0.2500 0.2500 0.7500

(2)
# RePPbO (PBE-GGA, optimized geometry)
# Energy above the most stable polymorph in this dataset   0.638 eV per atom
# Crystal system   tetragonal
data_RePPbO
_cell_length_a 4.2095
_cell_length_b 4.2095
_cell_length_c 9.4936
_cell_angle_alpha 90.00
_cell_angle_beta 90.00
_cell_angle_gamma 90.00
_space_group_name_H-M_alt 'P 4/n m m'
_space_group_IT_number 129
loop_
_space_group_symop_operation_xyz
'x,y,z'
'-x,-y,-z'
'-y+1/2,x,z'
'y+1/2,-x,-z'
'-x+1/2,-y+1/2,z'
'x+1/2,y+1/2,-z'
'y,-x+1/2,z'
'-y,x+1/2,-z'
'x+1/2,-y,-z'
'-x+1/2,y,z'
'-y,-x,-z'
'y,x,z'
'-x,y+1/2,-z'
'x,-y+1/2,z'
'y+1/2,x+1/2,-z'
'-y+1/2,-x+1/2,z'
loop_
_atom_site_label
_atom_site_type_symbol
_atom_site_fract_x
_atom_site_fract_y
_atom_site_fract_z
Re1 Re 0.2500 0.2500 0.0434
P1 P 0.2500 0.2500 0.2689
Pb1 Pb 0.2500 0.7500 0.5000
O1 O 0.2500 0.7500 0.0000

(3)
# SmErAlIr2 (PBE-GGA, optimized geometry)
# Crystal system   orthorhombic
# Uncorrected energy   -7.0483 eV per atom
data_SmErAlIr2
_cell_length_a 4.1087
_cell_length_b 5.8426
_cell_length_c 8.6023
_cell_angle_alpha 90.00
_cell_angle_beta 90.00
_cell_angle_gamma 90.00
_space_group_name_H-M_alt 'I m m 2'
_space_group_IT_number 44
_space_group_name_Hall 'I 2 -2'
loop_
_atom_site_label
_atom_site_type_symbol
_atom_site_fract_x
_atom_site_fract_y
_atom_site_fract_z
Sm1 Sm 0.0000 0.0000 0.0000
Er1 Er 0.0000 0.0000 0.3963
Al1 Al 0.0000 0.5000 0.1981
Ir1 Ir 0.0000 0.2585 0.6981

Number 1: M_tot 6.8 μB per formula unit. Number 2: M_tot 0.0 μB per formula unit. Number 3: M_tot 0.0 μB per formula unit.